PrSm12Sc7 | PBE | relaxed

Geometry as POSCAR:
```
PrSm12Sc7
1.0
9.5951 5.5397 1.9839
-9.5951 5.5397 1.9839
0.0000 -11.0794 1.9839
Pr Sm Sc
1 12 7
Direct
0.0000 0.0000 0.0000 Pr
0.0611 0.4112 0.4112 Sm
0.0862 0.5000 0.9138 Sm
0.0862 0.9138 0.5000 Sm
0.4112 0.0611 0.4112 Sm
0.4112 0.4112 0.0611 Sm
0.5000 0.0862 0.9138 Sm
0.5000 0.9138 0.0862 Sm
0.5888 0.5888 0.9389 Sm
0.5888 0.9389 0.5888 Sm
0.9138 0.0862 0.5000 Sm
0.9138 0.5000 0.0862 Sm
0.9389 0.5888 0.5888 Sm
0.1387 0.1387 0.3802 Sc
0.1387 0.3802 0.1387 Sc
0.3802 0.1387 0.1387 Sc
0.5000 0.5000 0.5000 Sc
0.6198 0.8613 0.8613 Sc
0.8613 0.6198 0.8613 Sc
0.8613 0.8613 0.6198 Sc
```

Results
- ΔH_f (0 K): 5.33 eV/f.u.
- Total magnetic moment: 0.00 Bohr magnetons per cell
- Space group: R-3m
- Energy: -5.020 eV/atom

MgMnCo2Pb | PBE | relaxed

Geometry as POSCAR:
```
MgMnCo2Pb
1.0
4.3562 0.0000 0.0000
0.0000 4.3562 0.0000
0.0000 0.0000 4.9438
Mg Mn Co Pb
1 1 2 1
Direct
0.0000 0.0000 0.0000 Mg
0.5000 0.5000 0.5000 Mn
0.0000 0.5000 0.5000 Co
0.5000 0.0000 0.5000 Co
0.5000 0.5000 0.0000 Pb
```

Results
- ΔH_f (0 K): 4.78 eV/f.u.
- Total magnetic moment: 3.15 Bohr magnetons per cell
- Space group: P4/mmm
- Energy: -4.782 eV/atom